DFT (PBE+U) results for an optimized crystal structure of NiNClF2.

The size of the total moment is 1.99 μB/f.u. The total DFT energy (no corrections) is -3.227 eV per atom.

The space group is P4/mmm (No. 123) and the conventional cell measures 3.705, 3.705 and 4.617 Å, with angles of 90.00, 90.00 and 90.00 degrees. The inequivalent atoms are Ni at (0.000, 0.000, 0.000), N at (0.000, 0.000, 0.500), Cl at (0.500, 0.500, 0.500) and F at (0.000, 0.500, 0.000).